# FeNi2MoPt2

A geometry-optimized FeNi2MoPt2 structure (PBE, Alexandria via LeMat-Bulk).

Values from the calculation:
Theoretical density   13.28 g/cm3
DOS(E_F)   1.092 states/eV/atom
Space-group type   P2_1/m
Formation enthalpy at 0 K   -0.02 eV/atom
Total energy   -43.1 eV/f.u.

Unit cell a=4.8500 b=5.3319 c=6.4325 alpha=90.00 beta=97.48 gamma=90.00
Last column: nearest neighbours and their distance in Å.
Positions (direct):
Fe 0.1943 0.2500 0.1470  2 Ni 2.52, 3 Mo 2.58-2.67, 6 Pt 2.65-2.78
Fe 0.8057 0.7500 0.8530  2 Ni 2.52, 3 Mo 2.58-2.67, 6 Pt 2.65-2.78
Ni 0.0030 0.2500 0.4926  4 Ni 2.41-2.67, 1 Mo 2.51, 1 Fe 2.52, 4 Pt 2.64-2.70
Ni 0.4989 0.7500 0.5057  4 Ni 2.41-2.67, 1 Mo 2.46, 1 Fe 2.52, 2 Pt 2.66
Ni 0.5011 0.2500 0.4943  4 Ni 2.41-2.67, 1 Mo 2.46, 1 Fe 2.52, 2 Pt 2.66
Ni 0.9970 0.7500 0.5074  4 Ni 2.41-2.67, 1 Mo 2.51, 1 Fe 2.52, 4 Pt 2.64-2.70
Mo 0.1971 0.7500 0.1668  2 Ni 2.46-2.51, 3 Fe 2.58-2.67, 2 Pt 2.75
Mo 0.8029 0.2500 0.8332  2 Ni 2.46-2.51, 3 Fe 2.58-2.67, 2 Pt 2.75
Pt 0.2986 0.9995 0.8109  4 Ni 2.64-2.72, 3 Fe 2.65-2.78, 3 Pt 2.66-2.91, 3 Mo 2.75-2.77
Pt 0.2986 0.5005 0.8109  4 Ni 2.64-2.72, 3 Fe 2.65-2.78, 3 Pt 2.66-2.91, 3 Mo 2.75-2.77
Pt 0.7014 0.0005 0.1891  4 Ni 2.64-2.72, 3 Fe 2.65-2.78, 3 Pt 2.66-2.91, 3 Mo 2.75-2.77
Pt 0.7014 0.4995 0.1891  4 Ni 2.64-2.72, 3 Fe 2.65-2.78, 3 Pt 2.66-2.91, 3 Mo 2.75-2.77



# LiSiRh2

A geometry-optimized LiSiRh2 structure (PBE, Alexandria via LeMat-Bulk).

Values from the calculation:
Theoretical density   7.66 g/cm3
DOS(E_F)   0.641 states/eV/atom
Space-group type   P2/m
Total energy   -23.8 eV/f.u.

Unit cell a=4.2363 b=2.7707 c=4.8659 alpha=90.00 beta=113.84 gamma=90.00
Last column: nearest neighbours and their distance in Å.
Positions (direct):
Li 0.0000 0.0000 0.0000  6 Rh 2.50-2.53, 2 Li 2.77
Si 0.0000 0.5000 0.5000  6 Rh 2.50-2.53, 2 Si 2.77
Rh 0.5000 0.0000 0.5000  2 Li 2.50, 4 Si 2.53, 2 Rh 2.77
Rh 0.5000 0.5000 0.0000  2 Si 2.50, 4 Li 2.53, 2 Rh 2.77



# DyURu

A geometry-optimized DyURu structure (PBE, Alexandria via LeMat-Bulk).

Values from the calculation:
Theoretical density   12.67 g/cm3
DOS(E_F)   1.317 states/eV/atom
Space-group type   I4mm
Formation enthalpy at 0 K   -0.11 eV/atom
Total energy   -25.5 eV/f.u.

Unit cell a=3.4797 b=3.4797 c=10.8588 alpha=90.00 beta=90.00 gamma=90.00
Last column: nearest neighbours and their distance in Å.
Positions (direct):
Dy 0.0000 0.0000 0.0000  5 U 3.25-3.29, 5 Ru 3.26-3.29, 4 Dy 3.48
Dy 0.5000 0.5000 0.5000  5 U 3.25-3.29, 5 Ru 3.26-3.29, 4 Dy 3.48
U 0.0000 0.0000 0.7005  4 Ru 2.70
U 0.5000 0.5000 0.2005  4 Ru 2.70
Ru 0.0000 0.0000 0.3032  4 U 2.70
Ru 0.5000 0.5000 0.8032  4 U 2.70



Question: Which value of total energy does entry 1 give?
Answer: -43.1 eV/f.u.



Question: The highest total energy belongs to which entry?
Answer: LiSiRh2



Question: Which of these has the lowest DOS(E_F)?
Answer: LiSiRh2